1.
Crystalline Li2YOsO6 at its relaxed geometry, computed with PBE.

## Properties
**Magnetization**: 1.181 μB/cell
**SG**: P2_1/c (14)
**Raw formation energy**: -19.1 eV per formula unit

a = 5.346 Å, b = 5.540 Å, c = 7.821 Å
α = 90.00°, β = 90.15°, γ = 90.00°
Atoms (fractional coordinates):
O  0.305  0.653  0.058
O  0.621  0.060  0.273
O  0.805  0.847  0.558
O  0.860  0.799  0.930
O  0.640  0.299  0.570
O  0.695  0.347  0.942
O  0.379  0.940  0.727
O  0.195  0.153  0.442
O  0.360  0.701  0.430
O  0.121  0.440  0.773
O  0.879  0.560  0.227
O  0.140  0.201  0.070
Y  0.500  0.000  0.000
Y  0.000  0.500  0.500
Li  0.512  0.486  0.243
Li  0.988  0.986  0.257
Li  0.012  0.014  0.743
Li  0.488  0.514  0.757
Os  0.000  0.500  0.000
Os  0.500  0.000  0.500

2.
Crystalline BaTcHg2 at its relaxed geometry, computed with PBE.

## Properties
**Magnetization**: 3.531 μB/cell
**ΔH_f (0 K)**: 0.52 eV per atom
**Excess energy over the best structure of this formula in the dataset**: 537 meV/atom
**SG**: I-42d (122)

a = 5.372 Å, b = 5.372 Å, c = 10.038 Å
α = 74.48°, β = 74.48°, γ = 90.00°
Atoms (fractional coordinates):
Hg  0.478  0.125  0.250
Hg  0.272  0.625  0.250
Hg  0.375  0.522  0.750
Hg  0.875  0.728  0.750
Ba  0.750  0.250  0.500
Ba  0.000  0.000  0.000
Tc  0.250  0.750  0.500
Tc  0.500  0.500  0.000

3.
Crystalline Ac2Au17 at its relaxed geometry, computed with PBE.

## Properties
**Magnetization**: 0.000 μB/cell
**ΔH_f (0 K)**: -0.33 eV per atom
**SG**: R-3m (166)

a = 7.390 Å, b = 7.390 Å, c = 7.390 Å
α = 82.60°, β = 82.60°, γ = 82.60°
Atoms (fractional coordinates):
Au  0.354  0.354  0.841
Au  0.000  0.302  0.698
Au  0.646  0.646  0.159
Au  0.698  0.000  0.302
Au  0.101  0.101  0.101
Au  0.000  0.500  0.000
Au  0.841  0.354  0.354
Au  0.500  0.000  0.000
Au  0.899  0.899  0.899
Au  0.302  0.698  0.000
Au  0.159  0.646  0.646
Au  0.000  0.698  0.302
Au  0.354  0.841  0.354
Au  0.698  0.302  0.000
Au  0.646  0.159  0.646
Au  0.000  0.000  0.500
Au  0.302  0.000  0.698
Ac  0.665  0.665  0.665
Ac  0.335  0.335  0.335